Record 1
## ZrReH (GGA-PBE)

Data for ZrReH after structural relaxation.

The calculation puts the density of states at the Fermi level at 0.73 states/eV/f.u. The calculation puts the density at 11.78 g cm⁻³. The calculated total energy comes out at -8.3010 eV per atom. The calculation puts the total magnetization at 0.00 μB/f.u.

Cell: 3.353 3.445 3.397 Å, 90.00 90.00 90.00°
Space group Pmm2 (No. 25)
Unique sites:
Zr1 0.000 0.000 0.000 [1 per cell]
Re1 0.500 0.500 0.481 [1 per cell]
H1 0.000 0.500 0.664 [1 per cell]

---

Record 2
## Zr2CSe (GGA-PBE)

Data for Zr2CSe after structural relaxation.

The calculation puts the density of states at the Fermi level at 4.41 states/eV/f.u. The calculation puts the uncorrected formation energy at -2.53 kcal/mol of atoms. The calculation puts the density at 7.09 g cm⁻³. The calculated total energy comes out at -7.5609 eV per atom. The calculation puts the total magnetization at 0.00 μB/f.u.

Cell: 6.350 6.350 6.350 Å, 90.00 90.00 90.00°
Space group Fm-3m (No. 225)
Unique sites:
Zr1 0.250 0.250 0.250 [8 per cell]
C1 0.000 0.000 0.000 [4 per cell]
Se1 0.000 0.000 0.500 [4 per cell]

---

Record 3
## DyAgAu4 (GGA-PBE)

Data for DyAgAu4 after structural relaxation.

The calculation puts the density of states at the Fermi level at 5.75 states/eV/f.u. The calculation puts the density at 14.64 g cm⁻³. As for the energy of formation from the pure elements: -386 meV per atom. The calculated total energy comes out at -3.8135 eV per atom. The calculation puts the total magnetization at 0.00 μB/f.u.

Cell: 7.830 7.830 7.830 Å, 90.00 90.00 90.00°
Space group F-43m (No. 216)
Unique sites:
Dy1 0.000 0.000 0.000 [4 per cell]
Ag1 0.250 0.250 0.750 [4 per cell]
Au1 0.125 0.125 0.375 [16 per cell]

---

Record 4
## SrLa2Ni (GGA-PBE)

Data for SrLa2Ni after structural relaxation.

The calculation puts the density of states at the Fermi level at 4.81 states/eV/f.u. The calculation puts the density at 6.14 g cm⁻³. As for the energy of formation from the pure elements: 376 meV per atom. The calculated total energy comes out at -3.9534 eV per atom. The calculation puts the total magnetization at 0.01 μB/f.u.

Cell: 7.714 7.714 7.714 Å, 90.00 90.00 90.00°
Space group F-43m (No. 216)
Unique sites:
Sr1 0.000 0.000 0.000 [4 per cell]
La1 0.000 0.000 0.500 [4 per cell]
La2 0.250 0.250 0.250 [4 per cell]
Ni1 0.250 0.250 0.750 [4 per cell]

---

Record 5
## Nd2HoErSe4 (GGA-PBE)

Data for Nd2HoErSe4 after structural relaxation.

The calculation puts the density of states at the Fermi level at 3.79 states/eV/f.u. The calculation puts the uncorrected formation energy at -41.06 kcal/mol of atoms. The calculation puts the density at 7.75 g cm⁻³. The calculated total energy comes out at -5.8572 eV per atom. The calculation puts the total magnetization at 0.00 μB/f.u.

Cell: 7.078 4.064 7.358 Å, 90.00 108.55 90.00°
Space group P2/m (No. 10)
Unique sites:
Nd1 0.000 0.000 0.000 [1 per cell]
Nd2 0.500 0.500 0.000 [1 per cell]
Ho1 0.000 0.500 0.500 [1 per cell]
Er1 0.500 0.000 0.500 [1 per cell]
Se1 0.245 0.000 0.733 [2 per cell]
Se2 0.257 0.500 0.268 [2 per cell]

---

Record 6
## PmPr2Mg (GGA-PBE)

Data for PmPr2Mg after structural relaxation.

The calculation puts the density of states at the Fermi level at 5.10 states/eV/f.u. The calculation puts the density at 5.64 g cm⁻³. As for the energy of formation from the pure elements: 37 meV per atom. The calculated total energy comes out at -3.9386 eV per atom. The calculation puts the total magnetization at 0.00 μB/f.u.

Cell: 6.276 3.632 11.841 Å, 90.00 100.14 90.00°
Space group Cm (No. 8)
Unique sites:
Pm1 0.000 0.000 0.000 [2 per cell]
Pr1 0.080 0.500 0.740 [2 per cell]
Pr2 0.418 0.000 0.256 [2 per cell]
Mg1 0.333 0.500 0.498 [2 per cell]

---

Record 7
## HoTm6Th4 (GGA-PBE)

Data for HoTm6Th4 after structural relaxation.

The calculation puts the density of states at the Fermi level at 15.21 states/eV/f.u. The calculation puts the density at 8.92 g cm⁻³. As for the energy of formation from the pure elements: 528 meV per atom. The calculated total energy comes out at -5.0254 eV per atom. The calculation puts the total magnetization at 0.00 μB/f.u.

Cell: 7.801 7.801 12.887 Å, 90.00 90.00 90.00°
Space group I-42m (No. 121)
Unique sites:
Ho1 0.000 0.000 0.000 [2 per cell]
Tm1 0.000 0.500 0.000 [4 per cell]
Tm2 0.249 0.249 0.678 [8 per cell]
Th1 0.168 0.168 0.425 [8 per cell]

---

Record 8
## BaSi2Ni (GGA-PBE)

Data for BaSi2Ni after structural relaxation.

The calculation puts the density of states at the Fermi level at 1.84 states/eV/f.u. The calculation puts the uncorrected formation energy at 11.13 kcal/mol of atoms. The calculation puts the density at 5.03 g cm⁻³. The calculated total energy comes out at -4.1548 eV per atom. The calculation puts the total magnetization at 0.00 μB/f.u.

Cell: 4.134 4.134 4.871 Å, 90.00 90.00 90.00°
Space group P4/mmm (No. 123)
Unique sites:
Ba1 0.000 0.000 0.000 [1 per cell]
Si1 0.000 0.500 0.500 [2 per cell]
Ni1 0.500 0.500 0.000 [1 per cell]

---

Among the records above, which one has the highest density? DyAgAu4

---

Which value of calculated total energy does entry 2 give? -7.5609 eV per atom

---

Which value of density does entry 5 give? 7.75 g cm⁻³